This record from Alexandria via LeMat-Bulk describes CaAcMn2O8 after structural relaxation. The functional is GGA+U.

The density of states at the Fermi level is 7.57 states/eV per cell. The total energy is -81.2 eV for the cell shown. The calculation puts the calculated volume at 207 Å³ per cell. The calculation puts the total magnetization at 3.0 μB/f.u. The crystal system is trigonal. As for the calculated density: 4.06 g/cm³.

The structure belongs to space group P-3m1 (No. 164); the cell edges are 5.7575, 5.7575 and 7.1964 Å and the angles 90.00°, 90.00° and 120.00°. The asymmetric unit holds Ca at (0.0000, 0.0000, 0.0000), Ac at (0.0000, 0.0000, 0.5000), Mn at (0.3333, 0.6667, 0.8286), O at (0.1702, 0.3405, 0.7507) and O at (0.3333, 0.6667, 0.0548).